1.
The following is a GGA-PBE calculation of a relaxed ThCuSiO crystal, from the Alexandria database.

The calculated density is 8.6 g/cm3. The size of the total moment comes out at 0.0 μB per cell. The calculation puts the density of states at the Fermi level at 4.96 states/eV per cell. Its raw total energy is -57.4 eV/cell. The raw formation energy comes out at -1.696 eV/atom.

The structure belongs to space group P4/nmm (No. 129, origin choice 2); the cell edges are 4.043, 4.043 and 8.014 Å and the angles 90.00°, 90.00° and 90.00°. The asymmetric unit holds Th at (0.250, 0.250, 0.164), Cu at (0.250, 0.750, 0.500), Si at (0.250, 0.250, 0.653) and O at (0.250, 0.750, 0.000).

=====

2.
The following is a GGA-PBE calculation of a relaxed Zn3MoH crystal, from the Alexandria database.

The calculated density is 3.6 g/cm3. The size of the total moment comes out at 3.9 μB per cell. The calculation puts the density of states at the Fermi level at 2.93 states/eV per cell. Its energy above the lowest structure with this stoichiometry is 1093 meV per atom. Its raw total energy is -11.0 eV/cell.

The structure belongs to space group Pm-3m (No. 221); the cell edges are 5.132, 5.132 and 5.132 Å and the angles 90.00°, 90.00° and 90.00°. The asymmetric unit holds Zn at (0.000, 0.000, 0.500), Mo at (0.000, 0.000, 0.000) and H at (0.500, 0.500, 0.500).

=====

3.
The following is a GGA-PBE calculation of a relaxed Ba4Pt2Au crystal, from the Alexandria database.

The calculated density is 7.8 g/cm3. The size of the total moment comes out at 0.0 μB per cell. The calculation puts the density of states at the Fermi level at 15.09 states/eV per cell. Its raw total energy is -111.4 eV/cell. The energy of formation from the pure elements is -0.684 eV/atom.

The structure belongs to space group I-42d (No. 122); the cell edges are 9.928, 9.928 and 9.859 Å and the angles 90.00°, 90.00° and 90.00°. The asymmetric unit holds Ba at (0.067, 0.181, 0.317), Pt at (0.129, 0.250, 0.625) and Au at (0.000, 0.000, 0.000).

=====

4.
The following is a GGA-PBE calculation of a relaxed CsHfPd2 crystal, from the Alexandria database.

The calculated density is 7.2 g/cm3. The size of the total moment comes out at 0.0 μB per cell. The calculation puts the density of states at the Fermi level at 14.34 states/eV per cell. Its energy above the lowest structure with this stoichiometry is 0 meV per atom. Its raw total energy is -79.9 eV/cell. The energy of formation from the pure elements is 0.302 eV/atom.

The structure belongs to space group I-42d (No. 122); the cell edges are 7.851, 7.851 and 7.811 Å and the angles 90.00°, 90.00° and 90.00°. The asymmetric unit holds Cs at (0.000, 0.000, 0.000), Hf at (0.000, 0.000, 0.500) and Pd at (0.173, 0.750, 0.625).

=====

5.
The following is a GGA-PBE calculation of a relaxed Tb2DyYTm6 crystal, from the Alexandria database.

The calculated density is 8.4 g/cm3. The size of the total moment comes out at 0.0 μB per cell. The calculation puts the density of states at the Fermi level at 54.91 states/eV per cell. Its raw total energy is -183.8 eV/cell. The energy of formation from the pure elements is 0.119 eV/atom.

The structure belongs to space group C2/c (No. 15); the cell edges are 8.926, 14.919 and 9.477 Å and the angles 90.00°, 97.95° and 90.00°. The asymmetric unit holds Tb at (0.249, 0.054, 0.044), Dy at (0.000, 0.408, 0.250), Y at (0.000, 0.022, 0.750), Tm at (0.062, 0.189, 0.443), Tm at (0.104, 0.394, 0.619) and Tm at (0.202, 0.225, 0.815).